{
  "formula": "TaAlF2",
  "functional": "PBE",
  "state": "relaxed",
  "lattice_angstrom": [[2.9534, -1.9440, -4.6816], [4.3203, -3.4411, 1.9781], [-5.7496, -0.0673, 1.1649]],
  "species": ["Ta", "Ta", "F", "F", "F", "F", "Al", "Al"],
  "fractional_positions": [[0.7500, 0.2500, 0.5000], [0.0000, 0.0000, 0.0000], [0.2324, 0.6250, 0.1074], [0.5176, 0.1250, 0.8926], [0.8750, 0.7676, 0.3926], [0.3750, 0.4824, 0.6074], [0.2500, 0.7500, 0.5000], [0.5000, 0.5000, 0.0000]],
  "formation_energy_uncorrected_ev_per_atom": -0.598,
  "relative_energy_mev_per_atom": 685.8,
  "m_tot_mub_per_fu": 0.00,
  "total_energy_ev_per_atom": -5.43,
  "sg": "I-42d (122)"
}

---

{
  "formula": "Na2TbInBr6",
  "functional": "PBE",
  "state": "relaxed",
  "lattice_angstrom": [[-6.3304, -2.5594, -3.3329], [-5.3338, -3.4827, 4.1410], [-6.9744, 4.0980, 1.4351]],
  "species": ["Br", "Br", "Br", "Br", "Br", "Br", "Na", "Na", "Tb", "In"],
  "fractional_positions": [[0.2453, 0.9429, 0.2346], [0.7187, 0.1429, 0.7625], [0.5770, 0.2453, 0.2347], [0.3759, 0.7186, 0.7624], [0.1430, 0.3759, 0.7625], [0.9429, 0.5772, 0.2347], [0.5189, 0.5189, 0.4433], [0.0048, 0.0048, 0.9857], [0.3257, 0.3256, 0.0230], [0.8094, 0.8094, 0.5717]],
  "formation_energy_uncorrected_ev_per_atom": -1.506,
  "m_tot_mub_per_fu": 0.00,
  "total_energy_ev_per_atom": -3.51,
  "sg": "R3 (146)"
}

---

{
  "formula": "P2SO2",
  "functional": "PBE",
  "state": "relaxed",
  "lattice_angstrom": [[3.4566, 0.0000, 0.0000], [0.0000, 3.4566, 0.0000], [0.0000, 0.0000, 5.2540]],
  "species": ["P", "P", "S", "O", "O"],
  "fractional_positions": [[0.5000, 0.5000, 0.5000], [0.0000, 0.0000, 0.5000], [0.0000, 0.0000, 0.0000], [0.0000, 0.5000, 0.0000], [0.5000, 0.0000, 0.0000]],
  "formation_energy_uncorrected_ev_per_atom": 0.334,
  "m_tot_mub_per_fu": 0.63,
  "total_energy_ev_per_atom": -4.64,
  "sg": "P4/mmm (123)"
}

---

{
  "formula": "BaZrIn2F8",
  "functional": "PBE",
  "state": "relaxed",
  "lattice_angstrom": [[4.5499, -0.1860, -0.0005], [-0.1266, 6.5284, -0.0060], [0.0065, 0.0113, 8.0234]],
  "species": ["In", "In", "F", "F", "F", "F", "F", "F", "F", "F", "Zr", "Ba"],
  "fractional_positions": [[0.5001, 0.4994, 0.7490], [0.4999, 0.5006, 0.2510], [0.1044, 0.8134, 0.1981], [0.8954, 0.1863, 0.1981], [0.6207, 0.8204, 0.0002], [0.8956, 0.1866, 0.8019], [0.3793, 0.1796, 0.9998], [0.5120, 0.7549, 0.4996], [0.1046, 0.8137, 0.8019], [0.4880, 0.2451, 0.5004], [0.0000, 0.0000, 0.0000], [0.0000, 0.0000, 0.5000]],
  "formation_energy_uncorrected_ev_per_atom": -3.032,
  "m_tot_mub_per_fu": 0.00,
  "total_energy_ev_per_atom": -5.61,
  "sg": "P2/m (10)"
}

---

{
  "formula": "KLaAuN2",
  "functional": "PBE",
  "state": "relaxed",
  "lattice_angstrom": [[4.6890, 0.0000, 0.0000], [0.0000, 5.1993, 0.0000], [0.0000, 0.0000, 4.6890]],
  "species": ["La", "N", "N", "K", "Au"],
  "fractional_positions": [[0.0000, 0.5000, 0.0000], [0.0000, 0.0000, 0.5000], [0.5000, 0.0000, 0.0000], [0.5000, 0.5000, 0.5000], [0.0000, 0.0000, 0.0000]],
  "formation_energy_uncorrected_ev_per_atom": 1.512,
  "m_tot_mub_per_fu": 0.92,
  "total_energy_ev_per_atom": -3.68,
  "sg": "P4/mmm (123)"
}

---

{
  "formula": "TlFeCu",
  "functional": "PBE",
  "state": "relaxed",
  "lattice_angstrom": [[4.3451, 0.0000, 0.0000], [-2.1726, 3.7630, 0.0000], [0.0000, 0.0000, 3.0070]],
  "species": ["Cu", "Fe", "Tl"],
  "fractional_positions": [[0.0000, 0.0000, 0.0128], [0.6667, 0.3333, 0.2889], [0.3333, 0.6667, 0.6983]],
  "relative_energy_mev_per_atom": 70.3,
  "delta_e_f_ev_per_atom": 0.564,
  "m_tot_mub_per_fu": 2.60,
  "total_energy_ev_per_atom": -4.41,
  "sg": "P3m1 (156)"
}

---

{
  "formula": "SrZr2Sc2",
  "functional": "PBE",
  "state": "relaxed",
  "lattice_angstrom": [[-2.7060, 5.1824, -6.9384], [-8.1261, 0.9939, 3.9116], [1.0894, 2.6853, 1.5808]],
  "species": ["Zr", "Zr", "Zr", "Zr", "Sc", "Sc", "Sc", "Sc", "Sr", "Sr"],
  "fractional_positions": [[0.1695, 0.6695, 0.5000], [0.6695, 0.8305, 0.5000], [0.8305, 0.3305, 0.5000], [0.3305, 0.1695, 0.5000], [0.8790, 0.6210, 0.0000], [0.3790, 0.8790, 0.0000], [0.6210, 0.1210, 0.0000], [0.1210, 0.3790, 0.0000], [0.5000, 0.5000, 0.0000], [0.0000, 0.0000, 0.0000]],
  "relative_energy_mev_per_atom": 25.3,
  "delta_e_f_ev_per_atom": 0.214,
  "m_tot_mub_per_fu": 0.00,
  "total_energy_ev_per_atom": -6.07,
  "sg": "P4/mbm (127)"
}

---

{
  "formula": "Na3CN4",
  "functional": "PBE",
  "state": "relaxed",
  "lattice_angstrom": [[-2.8796, 0.2372, 6.6509], [-7.6323, 2.1544, 3.9964], [2.6591, -4.4715, -2.3781]],
  "species": ["C", "Na", "Na", "Na", "N", "N", "N", "N"],
  "fractional_positions": [[0.5000, 0.0000, 0.0000], [0.0000, 0.0000, 0.5000], [0.5000, 0.5000, 0.0000], [0.0000, 0.5000, 0.5000], [0.0844, 0.8982, 0.0000], [0.5000, 0.1727, 0.3454], [0.5000, 0.8273, 0.6546], [0.9156, 0.1018, 0.0000]],
  "formation_energy_uncorrected_ev_per_atom": -0.106,
  "relative_energy_mev_per_atom": 0.0,
  "m_tot_mub_per_fu": 1.01,
  "total_energy_ev_per_atom": -5.92,
  "sg": "C2/m (12)"
}

---

{
  "formula": "Ho2ThF11",
  "functional": "PBE",
  "state": "relaxed",
  "lattice_angstrom": [[7.3861, 0.0000, 3.8499], [3.3522, 7.6362, 2.5788], [0.1471, 0.0129, 8.7280]],
  "species": ["F", "F", "F", "F", "F", "F", "F", "F", "F", "F", "F", "F", "F", "F", "F", "F", "F", "F", "F", "F", "F", "F", "Th", "Th", "Ho", "Ho", "Ho", "Ho"],
  "fractional_positions": [[0.6577, 0.7109, 0.5532], [0.2419, 0.5329, 0.1869], [0.5383, 0.0329, 0.6869], [0.3890, 0.6932, 0.3068], [0.5782, 0.2109, 0.0532], [0.7419, 0.6869, 0.0329], [0.0383, 0.1869, 0.5329], [0.1110, 0.1932, 0.8068], [0.0782, 0.5532, 0.7109], [0.1578, 0.0532, 0.2109], [0.7581, 0.4671, 0.8131], [0.4218, 0.7891, 0.9468], [0.5000, 0.5000, 0.5000], [0.2581, 0.3131, 0.9671], [0.0000, 0.0000, 0.0000], [0.9617, 0.8131, 0.4671], [0.3422, 0.2891, 0.4468], [0.6110, 0.3068, 0.6932], [0.8890, 0.8068, 0.1932], [0.9218, 0.4468, 0.2891], [0.8422, 0.9468, 0.7891], [0.4617, 0.9671, 0.3131], [0.2500, 0.2500, 0.2500], [0.7500, 0.7500, 0.7500], [0.6573, 0.6898, 0.3102], [0.1573, 0.8102, 0.1898], [0.3427, 0.3102, 0.6898], [0.8427, 0.1898, 0.8102]],
  "formation_energy_uncorrected_ev_per_atom": -3.819,
  "m_tot_mub_per_fu": 1.12,
  "total_energy_ev_per_atom": -6.47,
  "sg": "Ibam (72)"
}

---

{
  "formula": "TbGaRh2",
  "functional": "PBE",
  "state": "relaxed",
  "lattice_angstrom": [[-0.5905, -1.5365, -2.8504], [-1.4175, -2.4823, 1.6318], [-5.5816, 2.9147, -0.4149]],
  "species": ["Ga", "Rh", "Rh", "Tb"],
  "fractional_positions": [[0.5000, 0.5000, 0.0000], [0.0000, 0.0000, 0.2200], [0.0000, 0.0000, 0.7800], [0.5000, 0.5000, 0.5000]],
  "delta_e_f_ev_per_atom": -0.728,
  "m_tot_mub_per_fu": 0.00,
  "total_energy_ev_per_atom": -6.32,
  "sg": "P4/mmm (123)"
}

---

{
  "formula": "CaTaSi2",
  "functional": "PBE",
  "state": "relaxed",
  "lattice_angstrom": [[-1.9291, -4.0915, -1.3498], [2.3658, -1.4342, 0.9663], [-2.3139, -0.5223, 4.8901]],
  "species": ["Si", "Si", "Ca", "Ta"],
  "fractional_positions": [[0.5000, 0.5000, 0.3752], [0.0000, 0.0000, 0.8747], [0.5000, 0.5000, 0.8753], [0.0000, 0.0000, 0.3748]],
  "formation_energy_uncorrected_ev_per_atom": 0.053,
  "relative_energy_mev_per_atom": 304.1,
  "m_tot_mub_per_fu": 0.00,
  "total_energy_ev_per_atom": -6.12,
  "sg": "Pmmm (47)"
}

---

{
  "formula": "Y2MgCu12Ni3",
  "functional": "PBE",
  "state": "relaxed",
  "lattice_angstrom": [[6.1927, -1.3108, -0.9297], [1.9185, 6.0322, -0.9297], [1.9185, 1.1167, 6.0004]],
  "species": ["Mg", "Cu", "Cu", "Cu", "Cu", "Cu", "Cu", "Cu", "Cu", "Cu", "Cu", "Cu", "Cu", "Ni", "Ni", "Ni", "Y", "Y"],
  "fractional_positions": [[0.0000, 0.0000, 0.0000], [0.4199, 0.8545, 0.4199], [0.2861, 0.7986, 0.7986], [0.8545, 0.4199, 0.4199], [0.2014, 0.2014, 0.7139], [0.7986, 0.2861, 0.7986], [0.4199, 0.4199, 0.8545], [0.5801, 0.1455, 0.5801], [0.1455, 0.5801, 0.5801], [0.7139, 0.2014, 0.2014], [0.2014, 0.7139, 0.2014], [0.7986, 0.7986, 0.2861], [0.5801, 0.5801, 0.1455], [0.0000, 0.5000, 0.0000], [0.0000, 0.0000, 0.5000], [0.5000, 0.0000, 0.0000], [0.7396, 0.7396, 0.7396], [0.2604, 0.2604, 0.2604]],
  "delta_e_f_ev_per_atom": 0.036,
  "m_tot_mub_per_fu": 0.00,
  "total_energy_ev_per_atom": -4.47,
  "sg": "R-3m (166)"
}